# 1
Here is a geometry-optimized HfTl2Cl5F structure from the Alexandria database. Energies are from PBE.

a = 7.1012 Å, b = 7.1012 Å, c = 7.1012 Å
α = 93.15°, β = 118.20°, γ = 118.20°
With the nearest neighbours (Å) after each atom.
Positions (direct):
Cl: 0.4793 0.2357 0.2357  1 Hf 2.47
Cl: 0.0000 0.2357 0.7564  1 Hf 2.47
Cl: 0.0000 0.7564 0.2357  1 Hf 2.47
Cl: 0.5207 0.7564 0.7564  1 Hf 2.47
Cl: 0.0000 0.2459 0.2459  1 Hf 2.48
Hf: 0.0000 0.9921 0.9921  1 F 1.95
Tl: 0.5000 0.2425 0.7425  10 Cl 3.53-3.65, 2 F 3.68
Tl: 0.5000 0.7425 0.2425  10 Cl 3.53-3.65, 2 F 3.68
F: 0.0000 0.7928 0.7928  1 Hf 1.95

Values from the calculation:
Its formation energy without anion corrections is -1.7738 eV/atom.

# 2
Here is a geometry-optimized HfTl2Cl2F4 structure from the Alexandria database. Energies are from PBE.

a = 5.3797 Å, b = 7.0157 Å, c = 7.0157 Å
α = 52.49°, β = 93.51°, γ = 93.51°
With the nearest neighbours (Å) after each atom.
Positions (direct):
Cl: 0.6588 0.8166 0.8166  1 Hf 2.51
Cl: 0.3412 0.1834 0.1834  1 Hf 2.51
F: 0.7421 0.2763 0.8125  1 Hf 1.99
F: 0.2579 0.7237 0.1875  1 Hf 1.99
F: 0.2579 0.1875 0.7237  1 Hf 1.99
F: 0.7421 0.8125 0.2763  1 Hf 1.99
Hf: 0.5000 0.0000 0.0000  4 F 1.99
Tl: 0.8689 0.3586 0.3586  4 F 2.88-2.99
Tl: 0.1311 0.6414 0.6414  4 F 2.88-2.99

Values from the calculation:
Its formation energy without anion corrections is -2.5123 eV/atom.

# 3
Here is a geometry-optimized HgClF structure from the Alexandria database. Energies are from PBE.

a = 6.5776 Å, b = 6.3522 Å, c = 7.8863 Å
α = 116.16°, β = 90.00°, γ = 90.00°
With the nearest neighbours (Å) after each atom.
Positions (direct):
Cl: 0.5988 0.3417 0.1396  1 Hg 2.33
Cl: 0.0988 0.1583 0.8604  1 Hg 2.33
Cl: 0.9012 0.8417 0.1396  1 Hg 2.33
Cl: 0.4012 0.6583 0.8604  1 Hg 2.33
F: 0.1528 0.5599 0.3981  1 Hg 2.09
F: 0.6528 0.9401 0.6019  1 Hg 2.09
F: 0.8472 0.4401 0.6019  1 Hg 2.09
F: 0.3472 0.0599 0.3981  1 Hg 2.09
Hg: 0.4667 0.7211 0.2800  1 F 2.09, 1 Cl 2.33
Hg: 0.9667 0.7789 0.7200  1 F 2.09, 1 Cl 2.33
Hg: 0.5333 0.2789 0.7200  1 F 2.09, 1 Cl 2.33
Hg: 0.0333 0.2211 0.2800  1 F 2.09, 1 Cl 2.33

Values from the calculation:
As for the energy relative to the lowest polymorph listed for this composition: 0 meV per atom. Its formation energy without anion corrections is -1.0112 eV/atom.

# 4
Here is a geometry-optimized HgClF structure from the Alexandria database. Energies are from PBE.

a = 5.3668 Å, b = 3.8349 Å, c = 3.8349 Å
α = 120.00°, β = 90.00°, γ = 90.00°
With the nearest neighbours (Å) after each atom.
Positions (direct):
Cl: 0.7536 0.6667 0.3333  3 Hg 2.68
Hg: 0.0342 0.0000 0.0000  3 F 2.41, 3 Cl 2.68
F: 0.2122 0.3333 0.6667  3 Hg 2.41

Values from the calculation:
As for the energy relative to the lowest polymorph listed for this composition: 58 meV per atom. Its formation energy without anion corrections is -0.9530 eV/atom.

# 5
Here is a geometry-optimized HgClF3 structure from the Alexandria database. Energies are from PBE.

a = 4.4514 Å, b = 4.4514 Å, c = 4.4514 Å
α = 90.00°, β = 90.00°, γ = 90.00°
With the nearest neighbours (Å) after each atom.
Positions (direct):
F: 0.5000 0.0000 0.0000  2 Hg 2.23
F: 0.0000 0.5000 0.0000  2 Hg 2.23
F: 0.0000 0.0000 0.5000  2 Hg 2.23
Hg: 0.0000 0.0000 0.0000  6 F 2.23
Cl: 0.5000 0.5000 0.5000  12 F 3.15

Values from the calculation:
As for the energy relative to the lowest polymorph listed for this composition: 290 meV per atom. Its formation energy without anion corrections is -0.5981 eV/atom.

# 6
Here is a geometry-optimized Hg2ClF2 structure from the Alexandria database. Energies are from PBE.

a = 4.1359 Å, b = 4.1359 Å, c = 6.5510 Å
α = 112.88°, β = 112.88°, γ = 93.96°
With the nearest neighbours (Å) after each atom.
Positions (direct):
Hg: 0.5811 0.5811 0.2480  4 F 2.44-2.51, 1 Cl 2.71
Hg: 0.4189 0.4189 0.7520  4 F 2.44-2.51, 1 Cl 2.71
F: 0.7611 0.2389 0.5000  4 Hg 2.44-2.51
F: 0.2389 0.7611 0.5000  4 Hg 2.44-2.51
Cl: 0.0000 0.0000 0.0000  2 Hg 2.71

Values from the calculation:
Its formation energy without anion corrections is -0.9537 eV/atom.

# 7
Here is a geometry-optimized HgClF5 structure from the Alexandria database. Energies are from PBE.

a = 6.7958 Å, b = 6.7958 Å, c = 8.7079 Å
α = 97.87°, β = 97.87°, γ = 128.55°
With the nearest neighbours (Å) after each atom.
Positions (direct):
F: 0.6306 0.8673 0.4708  1 Hg 2.03
F: 0.9842 0.0158 0.2500  2 Hg 2.19
F: 0.0158 0.9842 0.7500  2 Hg 2.19
F: 0.1327 0.3694 0.0292  1 Hg 2.03
F: 0.0261 0.5271 0.3408  1 Cl 1.74
F: 0.4729 0.9739 0.1592  1 Cl 1.74
F: 0.5271 0.0261 0.8408  1 Cl 1.74
F: 0.3694 0.1327 0.5292  1 Hg 2.03
F: 0.9739 0.4729 0.6592  1 Cl 1.74
F: 0.8673 0.6306 0.9708  1 Hg 2.03
Cl: 0.7474 0.2526 0.7500  2 F 1.74
Cl: 0.2526 0.7474 0.2500  2 F 1.74
Hg: 0.0000 0.0000 0.0000  4 F 2.03-2.19
Hg: 0.0000 0.0000 0.5000  4 F 2.03-2.19

Values from the calculation:
Its formation energy without anion corrections is -0.7776 eV/atom.

# 8
Here is a geometry-optimized HgClF structure from the Alexandria database. Energies are from PBE.

a = 3.9282 Å, b = 6.0689 Å, c = 7.1126 Å
α = 110.90°, β = 98.92°, γ = 98.41°
With the nearest neighbours (Å) after each atom.
Positions (direct):
F: 0.6393 0.3549 0.3376  1 Hg 2.11
F: 0.3607 0.6451 0.6624  1 Hg 2.11
Cl: 0.9159 0.7995 0.1884  1 Hg 2.36
Cl: 0.0841 0.2005 0.8116  1 Hg 2.36
Hg: 0.2717 0.5569 0.2800  1 F 2.11, 1 Cl 2.36
Hg: 0.7283 0.4431 0.7200  1 F 2.11, 1 Cl 2.36

Values from the calculation:
As for the energy relative to the lowest polymorph listed for this composition: 11 meV per atom. Its formation energy without anion corrections is -1.0000 eV/atom.

# 9
Here is a geometry-optimized Hg3Cl5F structure from the Alexandria database. Energies are from PBE.

a = 7.8901 Å, b = 7.8901 Å, c = 9.7611 Å
α = 67.87°, β = 67.87°, γ = 74.54°
With the nearest neighbours (Å) after each atom.
Positions (direct):
Cl: 0.6840 0.3160 0.0000  2 Hg 2.64
Cl: 0.5620 0.5620 0.6256  1 Hg 2.38
Cl: 0.6500 0.0169 0.6674  2 Hg 2.62
Cl: 0.7816 0.7816 0.0751  2 Hg 2.48-2.52
Cl: 0.9831 0.3500 0.3326  2 Hg 2.62
Cl: 0.4380 0.4380 0.3744  1 Hg 2.38
Cl: 0.3160 0.6840 0.0000  2 Hg 2.64
Cl: 0.0169 0.6500 0.6674  2 Hg 2.62
Cl: 0.2184 0.2184 0.9249  2 Hg 2.48-2.52
Cl: 0.3500 0.9831 0.3326  2 Hg 2.62
F: 0.0826 0.0826 0.7165  2 Hg 2.26-2.45
F: 0.9174 0.9174 0.2835  2 Hg 2.26-2.45
Hg: 0.0000 0.0000 0.0000  2 F 2.45, 2 Cl 2.48
Hg: 0.6636 0.6636 0.8213  5 Cl 2.62-2.75
Hg: 0.3364 0.3364 0.1787  5 Cl 2.62-2.75
Hg: 0.0000 0.0000 0.5000  4 Cl 2.62, 2 F 2.76
Hg: 0.7164 0.7164 0.3622  1 F 2.26, 2 Cl 2.38-2.52
Hg: 0.2836 0.2836 0.6378  1 F 2.26, 2 Cl 2.38-2.52

Values from the calculation:
Its formation energy without anion corrections is -0.6897 eV/atom.

# 10
Here is a geometry-optimized Hg2Cl3F structure from the Alexandria database. Energies are from PBE.

a = 4.5486 Å, b = 7.8068 Å, c = 11.3486 Å
α = 90.88°, β = 78.44°, γ = 73.06°
With the nearest neighbours (Å) after each atom.
Positions (direct):
Hg: 0.6407 0.0756 0.6429  1 F 2.09
Hg: 0.8872 0.3542 0.8714  2 Cl 2.34-2.37
Hg: 0.3593 0.9244 0.3571  1 F 2.09
Hg: 0.1128 0.6458 0.1286  2 Cl 2.34-2.37
Cl: 0.8371 0.7972 0.5287  1 Hg 2.35
Cl: 0.1629 0.2028 0.4713  1 Hg 2.35
Cl: 0.2934 0.3353 0.0779  1 Hg 2.34
Cl: 0.9299 0.9596 0.1805  1 Hg 2.37
Cl: 0.7066 0.6647 0.9221  1 Hg 2.34
Cl: 0.0701 0.0404 0.8195  1 Hg 2.37
F: 0.4670 0.3284 0.7377  1 Hg 2.09
F: 0.5330 0.6716 0.2623  1 Hg 2.09

Values from the calculation:
As for the energy relative to the lowest polymorph listed for this composition: 0 meV per atom. Its formation energy without anion corrections is -0.8074 eV/atom.

# 11
Here is a geometry-optimized HgClF structure from the Alexandria database. Energies are from PBE.

a = 4.0910 Å, b = 5.9622 Å, c = 6.0337 Å
α = 90.00°, β = 96.83°, γ = 90.00°
With the nearest neighbours (Å) after each atom.
Positions (direct):
F: 0.0996 0.5898 0.3538  1 Hg 2.06
F: 0.9004 0.0898 0.6462  1 Hg 2.06
Cl: 0.6648 0.6021 0.8027  1 Hg 2.34
Cl: 0.3352 0.1021 0.1973  1 Hg 2.34
Hg: 0.7366 0.8296 0.2954  1 F 2.06
Hg: 0.2634 0.3296 0.7046  1 F 2.06

Values from the calculation:
As for the energy relative to the lowest polymorph listed for this composition: 14 meV per atom. Its formation energy without anion corrections is -0.9967 eV/atom.